Compound: LaSbTe2S
Source: Alexandria via LeMat-Bulk
Functional: PBE
Structure: relaxed

Calculated values
Size of the total moment: 1.22 μB/f.u.
ΔE to the lowest computed polymorph: 877 meV/atom
Formation energy from raw total energies: 0.51 eV per atom
DOS at the Fermi energy: 8.3 states/eV/cell
Space group: No. 123

POSCAR file:
```
LaSbTe2S
1.0
-6.026 -0.468 -0.709
-0.061 -4.827 3.706
-0.887 3.849 4.998
Sb S Te La
1 1 2 1
Direct
0.000 0.000 0.500
0.500 0.500 0.500
0.000 0.500 0.000
0.500 0.000 0.000
0.000 0.000 0.000
```